First-principles (PBE) data for a geometry-optimized SrCoW2 structure, as listed in the Alexandria database.

Cell: 2.7247 4.8849 10.9414 Å, 90.00 90.00 90.00°
Fractional coordinates of all 8 atoms:
Sr: 0.0000 0.0000 0.0000
Sr: 0.5000 0.5000 0.5000
Co: 0.0000 0.0000 0.5000
Co: 0.5000 0.5000 0.0000
W: 0.0000 0.5000 0.2034
W: 0.0000 0.5000 0.7966
W: 0.5000 0.0000 0.2966
W: 0.5000 0.0000 0.7034

Values from the calculation:
uncorrected energy = -7.928 eV/atom
symmetry = Immm
DFT formation energy = 745 meV per atom